The following is a PBE-GGA calculation of a relaxed Zn2PbBr crystal, from Alexandria.

Results
Total magnetic moment ... 0.0 Bohr magnetons per cell
Density of states at the Fermi level ... 2.6 states/eV/f.u.
ΔE_f (raw) ... -0.08 eV/atom
Distance to the lowest polymorph of the same formula ... 0 meV/atom
Volume ... 24.60 Å³ per atom

abc: 9.3344 9.3344 9.3344
angles: 21.81 21.81 21.81
Closest atoms and distances in Å follow each position.
Element x y z (fractional)
Pb  0.7396  0.7396  0.7396  3 Zn 3.19, 6 Pb 3.53
Br  0.5241  0.5241  0.5241  3 Zn 2.66
Zn  0.9831  0.9831  0.9831  3 Zn 2.67
Zn  0.2532  0.2532  0.2532  3 Br 2.66, 3 Zn 2.67